1.
Crystalline HfScZn at its relaxed geometry. Source: Alexandria via LeMat-Bulk, functional GGA-PBE.

```
3
Lattice="-1.588 1.588 5.973 1.588 -1.588 5.973 1.588 1.588 -5.973" Properties=species:S:1:pos:R:3 pbc="T T T"
Hf 0.000 0.000 0.000
Sc 0.000 0.000 8.148
Zn 0.000 0.000 4.095
```

Its energy above the most stable polymorph in this dataset is 0.0 kJ per mole of atoms.

---

2.
Crystalline Hf2Sc3Zn3 at its relaxed geometry. Source: Alexandria via LeMat-Bulk, functional GGA-PBE.

```
8
Lattice="-1.647 2.403 9.995 1.647 -2.403 9.995 1.647 2.403 -9.995" Properties=species:S:1:pos:R:3 pbc="T T T"
Hf 0.000 0.000 4.619
Hf 0.000 0.000 15.371
Sc 0.000 0.000 0.000
Sc 1.647 0.000 7.496
Sc 0.000 2.403 2.499
Zn 1.647 0.000 2.271
Zn 0.000 0.000 9.995
Zn 0.000 2.403 7.724
```

---

3.
Crystalline HfSc2Zn3 at its relaxed geometry. Source: Alexandria via LeMat-Bulk, functional GGA-PBE.

```
6
Lattice="4.704 0.000 0.000 -2.352 4.074 0.000 0.000 0.000 5.790" Properties=species:S:1:pos:R:3 pbc="T T T"
Hf 0.000 0.000 0.000
Sc 0.000 2.716 3.877
Sc 2.352 1.358 1.913
Zn 0.000 0.000 2.895
Zn 0.000 2.716 0.968
Zn 2.352 1.358 4.823
```

Its energy above the most stable polymorph in this dataset is 0.9 kJ per mole of atoms.

---

4.
Crystalline Hf2ScZn4 at its relaxed geometry. Source: Alexandria via LeMat-Bulk, functional GGA-PBE.

```
7
Lattice="-2.300 2.300 6.504 2.300 -2.300 6.504 2.300 2.300 -6.504" Properties=species:S:1:pos:R:3 pbc="T T T"
Hf 0.000 0.000 3.227
Hf 0.000 0.000 9.782
Sc 0.000 0.000 6.504
Zn 2.300 0.000 1.533
Zn 2.300 0.000 4.971
Zn 0.000 2.300 1.533
Zn 0.000 2.300 4.971
```

---

5.
Crystalline Hf3ScZn at its relaxed geometry. Source: Alexandria via LeMat-Bulk, functional GGA-PBE.

```
5
Lattice="4.976 0.000 0.000 0.000 4.976 0.000 0.000 0.000 4.976" Properties=species:S:1:pos:R:3 pbc="T T T"
Hf 0.000 0.000 2.488
Hf 0.000 2.488 0.000
Hf 2.488 0.000 0.000
Sc 2.488 2.488 2.488
Zn 0.000 0.000 0.000
```

Its energy above the most stable polymorph in this dataset is 0.0 kJ per mole of atoms.

---

6.
Crystalline HfSc5Zn4 at its relaxed geometry. Source: Alexandria via LeMat-Bulk, functional GGA-PBE.

```
10
Lattice="3.281 0.000 0.000 0.000 3.281 0.000 0.000 0.000 18.305" Properties=species:S:1:pos:R:3 pbc="T T T"
Hf 0.000 0.000 0.000
Sc 1.641 1.641 2.167
Sc 1.641 1.641 5.729
Sc 1.641 1.641 9.153
Sc 1.641 1.641 12.576
Sc 1.641 1.641 16.138
Zn 0.000 0.000 3.979
Zn 0.000 0.000 7.429
Zn 0.000 0.000 10.876
Zn 0.000 0.000 14.327
```

---

7.
Crystalline HfSc2Zn2 at its relaxed geometry. Source: Alexandria via LeMat-Bulk, functional GGA-PBE.

```
10
Lattice="7.988 0.000 0.000 0.000 7.988 0.000 0.000 0.000 3.088" Properties=species:S:1:pos:R:3 pbc="T T T"
Hf 0.000 0.000 0.000
Hf 3.994 3.994 0.000
Sc 1.071 2.923 0.000
Sc 2.923 6.917 0.000
Sc 5.065 1.071 0.000
Sc 6.917 5.065 0.000
Zn 1.330 5.324 1.544
Zn 2.664 1.330 1.544
Zn 5.324 6.659 1.544
Zn 6.659 2.664 1.544
```

Its energy above the most stable polymorph in this dataset is 19.8 kJ per mole of atoms.

---

8.
Crystalline HfSc2Zn2 at its relaxed geometry. Source: Alexandria via LeMat-Bulk, functional GGA-PBE.

```
5
Lattice="-2.042 2.042 6.307 2.042 -2.042 6.307 2.042 2.042 -6.307" Properties=species:S:1:pos:R:3 pbc="T T T"
Hf 0.000 0.000 0.000
Sc 0.000 0.000 4.931
Sc 0.000 0.000 7.684
Zn 2.042 0.000 3.154
Zn 0.000 2.042 3.154
```

Its energy above the most stable polymorph in this dataset is 42.9 kJ per mole of atoms.

---

no.,calculated formation energy (eV per atom)
1,-0.193
2,-0.247
3,-0.295
4,-0.020
5,0.635
6,-0.286
7,-0.019
8,0.220